(1)
CaCoSi2W | SCAN | PBEsol geometry

Unit cell a=4.6962 b=4.6962 c=5.2336 alpha=90.00 beta=90.00 gamma=90.00
Last column: magnetic moment on the atom in μB.
Atoms (fractional coordinates):
Co  0.5000  0.5000  0.5000  2.33
W  0.0000  0.0000  0.0000  0.33
Si  0.5000  0.0000  0.0000  0.01
Ca  0.0000  0.0000  0.5000  0.02
Si  0.0000  0.5000  0.0000  0.01

Results
- Formation energy without anion corrections: 5.91 eV/f.u.
- Size of the total moment: 2.97 Bohr magnetons per cell
- Energy: -22.155 eV per atom
- N(E_F): 0.645 states/eV/atom



(2)
BeOs2Rh2 | SCAN | PBEsol geometry

Unit cell a=3.4634 b=3.4634 c=6.7832 alpha=104.79 beta=104.79 gamma=90.00
Atoms (fractional coordinates):
Os  0.2500  0.7500  0.5000
Rh  0.5962  0.5962  0.1923
Be  0.0000  0.0000  0.0000
Os  0.7500  0.2500  0.5000
Rh  0.4038  0.4038  0.8077

Results
- Formation energy from the elements: 601 meV per atom
- Size of the total moment: 0.00 Bohr magnetons per cell
- Energy: -42.530 eV per atom
- N(E_F): 0.737 states/eV/atom



(3)
KBa | SCAN | PBEsol geometry

Unit cell a=4.2991 b=4.2991 c=14.8679 alpha=90.00 beta=90.00 gamma=112.48
Atoms (fractional coordinates):
K  0.2500  0.7500  0.6312
Ba  0.2500  0.7500  0.1165
K  0.7500  0.2500  0.3688
Ba  0.7500  0.2500  0.8835

Results
- Formation energy from the elements: 47 meV per atom
- Size of the total moment: 0.12 Bohr magnetons per cell
- Energy: -23.892 eV per atom
- N(E_F): 1.163 states/eV/atom



| no. | ρ (g/cm3) |
| --- | --- |
| 1 | 4.9 |
| 2 | 13.0 |
| 3 | 2.3 |